Record 1
Below is a relaxed LiCaGa2 crystal, with properties calculated at the PBE level.

a = 7.239 Å, b = 4.299 Å, c = 10.653 Å
α = 90.00°, β = 90.00°, γ = 90.00°
Positions (direct):
Li  0.055  0.250  0.099
Li  0.445  0.750  0.599
Li  0.555  0.250  0.401
Li  0.945  0.750  0.901
Ca  0.228  0.750  0.323
Ca  0.272  0.250  0.823
Ca  0.728  0.750  0.177
Ca  0.772  0.250  0.677
Ga  0.067  0.750  0.635
Ga  0.218  0.250  0.534
Ga  0.282  0.750  0.034
Ga  0.433  0.250  0.135
Ga  0.567  0.750  0.865
Ga  0.718  0.250  0.966
Ga  0.782  0.750  0.466
Ga  0.933  0.250  0.365

E_form, kcal/mol of atoms: -9.82
N(E_F), states/eV per atom: 0.266
ΔE to the lowest computed polymorph, meV per atom: 0.0
DFT total energy, eV/atom: -2.918

***

Record 2
Below is a relaxed LiCaGa2 crystal, with properties calculated at the PBE level.

a = 3.383 Å, b = 3.383 Å, c = 6.963 Å
α = 90.00°, β = 90.00°, γ = 90.00°
Positions (direct):
Li  0.000  0.000  0.000
Ca  0.000  0.000  0.500
Ga  0.500  0.500  0.194
Ga  0.500  0.500  0.806

E_form, kcal/mol of atoms: -8.34
N(E_F), states/eV per atom: 0.317
ΔE to the lowest computed polymorph, meV per atom: 64.0
DFT total energy, eV/atom: -2.854

***

Record 3
Below is a relaxed Li2Ca5Ga crystal, with properties calculated at the PBE level.

a = 9.922 Å, b = 9.922 Å, c = 9.922 Å
α = 133.10°, β = 133.10°, γ = 68.49°
Positions (direct):
Li  0.116  0.616  0.732
Li  0.384  0.116  0.500
Li  0.616  0.884  0.500
Li  0.884  0.384  0.268
Ca  0.000  0.000  0.000
Ca  0.020  0.168  0.500
Ca  0.168  0.668  0.148
Ca  0.332  0.480  0.500
Ca  0.480  0.980  0.148
Ca  0.500  0.500  0.000
Ca  0.520  0.020  0.852
Ca  0.668  0.520  0.500
Ca  0.832  0.332  0.852
Ca  0.980  0.832  0.500
Ga  0.250  0.250  0.000
Ga  0.750  0.750  0.000

E_form, kcal/mol of atoms: -2.14
N(E_F), states/eV per atom: 0.952
DFT total energy, eV/atom: -2.200

***

Record 4
Below is a relaxed Li2Ca3Ga8 crystal, with properties calculated at the PBE level.

a = 5.831 Å, b = 7.170 Å, c = 8.179 Å
α = 73.30°, β = 69.12°, γ = 66.06°
Positions (direct):
Li  0.166  0.000  0.167
Li  0.834  0.000  0.833
Ca  0.000  0.500  0.000
Ca  0.499  0.812  0.691
Ca  0.501  0.188  0.309
Ga  0.029  0.344  0.653
Ga  0.081  0.745  0.593
Ga  0.384  0.645  0.086
Ga  0.474  0.343  0.653
Ga  0.526  0.657  0.347
Ga  0.616  0.355  0.914
Ga  0.919  0.255  0.407
Ga  0.971  0.656  0.347

E_form, kcal/mol of atoms: -7.43
N(E_F), states/eV per atom: 0.211
DFT total energy, eV/atom: -2.941

***

Record 5
Below is a relaxed Li2CaGa3 crystal, with properties calculated at the PBE level.

a = 6.899 Å, b = 6.899 Å, c = 4.935 Å
α = 90.00°, β = 90.00°, γ = 81.96°
Positions (direct):
Li  0.221  0.221  0.000
Li  0.221  0.221  0.500
Li  0.779  0.779  0.000
Li  0.779  0.779  0.500
Ca  0.310  0.690  0.750
Ca  0.690  0.310  0.250
Ga  0.070  0.930  0.250
Ga  0.077  0.548  0.250
Ga  0.452  0.923  0.250
Ga  0.548  0.077  0.750
Ga  0.923  0.452  0.750
Ga  0.930  0.070  0.750

E_form, kcal/mol of atoms: -7.97
N(E_F), states/eV per atom: 0.278
DFT total energy, eV/atom: -2.831

***

Record 6
Below is a relaxed Li5Ca2Ga4 crystal, with properties calculated at the PBE level.

a = 7.137 Å, b = 7.137 Å, c = 8.246 Å
α = 123.07°, β = 123.07°, γ = 45.43°
Positions (direct):
Li  0.000  0.000  0.000
Li  0.203  0.703  0.250
Li  0.297  0.797  0.750
Li  0.703  0.203  0.250
Li  0.797  0.297  0.750
Ca  0.272  0.272  0.705
Ca  0.728  0.728  0.295
Ga  0.227  0.227  0.061
Ga  0.379  0.379  0.444
Ga  0.621  0.621  0.556
Ga  0.773  0.773  0.939

E_form, kcal/mol of atoms: -5.62
N(E_F), states/eV per atom: 0.400
DFT total energy, eV/atom: -2.578

***

Record 7
Below is a relaxed LiCa3Ga2 crystal, with properties calculated at the PBE level.

a = 7.125 Å, b = 7.125 Å, c = 7.125 Å
α = 78.24°, β = 78.24°, γ = 78.24°
Positions (direct):
Li  0.000  0.000  0.000
Li  0.500  0.500  0.500
Ca  0.073  0.750  0.427
Ca  0.250  0.573  0.927
Ca  0.427  0.073  0.750
Ca  0.573  0.927  0.250
Ca  0.750  0.427  0.073
Ca  0.927  0.250  0.573
Ga  0.164  0.164  0.164
Ga  0.336  0.336  0.336
Ga  0.664  0.664  0.664
Ga  0.836  0.836  0.836

E_form, kcal/mol of atoms: -5.67
N(E_F), states/eV per atom: 0.527
ΔE to the lowest computed polymorph, meV per atom: 60.9
DFT total energy, eV/atom: -2.575

***

Record 8
Below is a relaxed LiCa4Ga crystal, with properties calculated at the PBE level.

a = 10.473 Å, b = 10.473 Å, c = 10.473 Å
α = 60.00°, β = 60.00°, γ = 60.00°
Positions (direct):
Li  0.424  0.424  0.424
Li  0.424  0.424  0.728
Li  0.424  0.728  0.424
Li  0.728  0.424  0.424
Ca  0.039  0.654  0.654
Ca  0.054  0.054  0.446
Ca  0.054  0.446  0.054
Ca  0.054  0.446  0.446
Ca  0.193  0.193  0.807
Ca  0.193  0.807  0.193
Ca  0.193  0.807  0.807
Ca  0.446  0.054  0.054
Ca  0.446  0.054  0.446
Ca  0.446  0.446  0.054
Ca  0.654  0.039  0.654
Ca  0.654  0.654  0.039
Ca  0.654  0.654  0.654
Ca  0.807  0.193  0.193
Ca  0.807  0.193  0.807
Ca  0.807  0.807  0.193
Ga  0.418  0.861  0.861
Ga  0.861  0.418  0.861
Ga  0.861  0.861  0.418
Ga  0.861  0.861  0.861

E_form, kcal/mol of atoms: -3.69
N(E_F), states/eV per atom: 0.920
ΔE to the lowest computed polymorph, meV per atom: 0.0
DFT total energy, eV/atom: -2.318